# AcPdAu

An optimized crystal structure of AcPdAu (PBE, the Alexandria database).

Cell: 4.747 4.747 3.928 Å, 90.00 90.00 120.00°
Positions (direct):
Ac1 0.000 0.000 0.000
Pd1 0.333 0.667 0.500
Au1 0.667 0.333 0.500

Output
- Space group: P-6m2
- ρ: 11.5 g cm⁻³
- Energy of formation from the pure elements: -0.83 eV per atom
- Final energy: -5.019 eV per atom

# Ac4Pd3Au

An optimized crystal structure of Ac4Pd3Au (PBE, the Alexandria database).

Cell: 6.301 6.301 6.301 Å, 90.00 90.00 90.00°
Positions (direct):
Ac1 0.000 0.000 0.000
Ac2 0.000 0.500 0.500
Ac3 0.500 0.000 0.500
Ac4 0.500 0.500 0.000
Pd1 0.000 0.000 0.500
Pd2 0.000 0.500 0.000
Pd3 0.500 0.000 0.000
Au1 0.500 0.500 0.500

Output
- Space group: Pm-3m
- ρ: 9.5 g cm⁻³
- Energy of formation from the pure elements: -0.78 eV per atom
- Final energy: -5.189 eV per atom

# Ac2PdAu

An optimized crystal structure of Ac2PdAu (PBE, the Alexandria database).

Cell: 8.047 8.047 8.047 Å, 31.83 31.83 31.83°
Positions (direct):
Ac1 0.000 0.000 0.000
Ac2 0.180 0.180 0.180
Pd1 0.589 0.589 0.589
Au1 0.424 0.424 0.424

Output
- Space group: R3m
- ρ: 9.8 g cm⁻³
- Energy of formation from the pure elements: -0.77 eV per atom
- Final energy: -4.939 eV per atom

# Ac3Pd2Au

An optimized crystal structure of Ac3Pd2Au (PBE, the Alexandria database).

Cell: 8.248 8.248 8.248 Å, 57.98 57.98 57.98°
Positions (direct):
Ac1 0.055 0.750 0.445
Ac2 0.250 0.555 0.945
Ac3 0.445 0.055 0.750
Ac4 0.555 0.945 0.250
Ac5 0.750 0.445 0.055
Ac6 0.945 0.250 0.555
Pd1 0.151 0.151 0.151
Pd2 0.349 0.349 0.349
Pd3 0.651 0.651 0.651
Pd4 0.849 0.849 0.849
Au1 0.000 0.000 0.000
Au2 0.500 0.500 0.500

Output
- Space group: R-3c
- ρ: 9.6 g cm⁻³
- Energy of formation from the pure elements: -0.75 eV per atom
- Final energy: -5.080 eV per atom

# Ac2Pd2Au

An optimized crystal structure of Ac2Pd2Au (PBE, the Alexandria database).

Cell: 7.876 7.876 4.044 Å, 90.00 90.00 148.31°
Positions (direct):
Ac1 0.128 0.872 0.000
Ac2 0.872 0.128 0.000
Pd1 0.310 0.690 0.500
Pd2 0.690 0.310 0.500
Au1 0.500 0.500 0.500

Output
- Space group: Cmmm
- ρ: 10.9 g cm⁻³
- Energy of formation from the pure elements: -0.84 eV per atom
- Final energy: -5.211 eV per atom

# Ac3Pd4Au4

An optimized crystal structure of Ac3Pd4Au4 (PBE, the Alexandria database).

Cell: 4.071 4.432 15.021 Å, 81.73 82.44 89.97°
Positions (direct):
Ac1 0.000 0.000 0.000
Ac2 0.152 0.650 0.699
Ac3 0.848 0.350 0.301
Pd1 0.310 0.811 0.377
Pd2 0.459 0.455 0.090
Pd3 0.541 0.545 0.910
Pd4 0.690 0.189 0.623
Au1 0.254 0.254 0.492
Au2 0.401 0.904 0.194
Au3 0.599 0.096 0.806
Au4 0.746 0.746 0.508

Output
- Space group: P-1
- ρ: 11.8 g cm⁻³
- Energy of formation from the pure elements: -0.70 eV per atom
- Final energy: -4.904 eV per atom

# Ac2Pd5Au12

An optimized crystal structure of Ac2Pd5Au12 (PBE, the Alexandria database).

Cell: 7.267 7.267 7.267 Å, 83.24 83.24 83.24°
Positions (direct):
Ac1 0.177 0.177 0.177
Ac2 0.823 0.823 0.823
Pd1 0.000 0.500 0.500
Pd2 0.399 0.399 0.399
Pd3 0.500 0.000 0.500
Pd4 0.500 0.500 0.000
Pd5 0.601 0.601 0.601
Au1 0.153 0.153 0.654
Au2 0.153 0.654 0.153
Au3 0.200 0.500 0.800
Au4 0.200 0.800 0.500
Au5 0.346 0.847 0.847
Au6 0.500 0.200 0.800
Au7 0.500 0.800 0.200
Au8 0.654 0.153 0.153
Au9 0.800 0.200 0.500
Au10 0.800 0.500 0.200
Au11 0.847 0.346 0.847
Au12 0.847 0.847 0.346

Output
- Space group: R-3m
- ρ: 14.8 g cm⁻³
- Energy of formation from the pure elements: -0.41 eV per atom
- Final energy: -4.280 eV per atom

# Ac8Pd6Au

An optimized crystal structure of Ac8Pd6Au (PBE, the Alexandria database).

Cell: 10.742 10.742 4.582 Å, 90.00 90.00 120.00°
Positions (direct):
Ac1 0.064 0.750 0.250
Ac2 0.250 0.314 0.250
Ac3 0.314 0.064 0.750
Ac4 0.333 0.667 0.749
Ac5 0.667 0.333 0.251
Ac6 0.686 0.936 0.250
Ac7 0.750 0.686 0.750
Ac8 0.936 0.250 0.750
Pd1 0.069 0.468 0.248
Pd2 0.399 0.931 0.248
Pd3 0.468 0.399 0.752
Pd4 0.532 0.601 0.248
Pd5 0.601 0.069 0.752
Pd6 0.931 0.532 0.752
Au1 0.000 0.000 0.000

Output
- Space group: P-3
- ρ: 9.6 g cm⁻³
- Energy of formation from the pure elements: -0.66 eV per atom
- Final energy: -5.143 eV per atom

# AcPd3Au2

An optimized crystal structure of AcPd3Au2 (PBE, the Alexandria database).

Cell: 5.626 5.626 4.499 Å, 90.00 90.00 120.00°
Positions (direct):
Ac1 0.000 0.000 0.000
Pd1 0.000 0.500 0.500
Pd2 0.500 0.000 0.500
Pd3 0.500 0.500 0.500
Au1 0.333 0.667 0.000
Au2 0.667 0.333 0.000

Output
- Space group: P6/mmm
- ρ: 12.7 g cm⁻³
- Energy of formation from the pure elements: -0.63 eV per atom
- Final energy: -5.007 eV per atom

# Ac2PdAu

An optimized crystal structure of Ac2PdAu (PBE, the Alexandria database).

Cell: 3.856 3.856 7.731 Å, 90.00 90.00 90.00°
Positions (direct):
Ac1 0.000 0.000 0.244
Ac2 0.000 0.000 0.756
Pd1 0.500 0.500 0.000
Au1 0.500 0.500 0.500

Output
- Space group: P4/mmm
- ρ: 10.9 g cm⁻³
- Energy of formation from the pure elements: -0.74 eV per atom
- Final energy: -4.908 eV per atom

# Ac4Pd5Au3

An optimized crystal structure of Ac4Pd5Au3 (PBE, the Alexandria database).

Cell: 7.956 7.956 10.767 Å, 121.97 121.97 36.08°
Positions (direct):
Ac1 0.037 0.037 0.328
Ac2 0.267 0.267 0.772
Ac3 0.733 0.733 0.228
Ac4 0.963 0.963 0.672
Pd1 0.277 0.277 0.487
Pd2 0.400 0.400 0.384
Pd3 0.500 0.500 0.000
Pd4 0.600 0.600 0.616
Pd5 0.723 0.723 0.513
Au1 0.000 0.000 0.000
Au2 0.379 0.379 0.122
Au3 0.621 0.621 0.878

Output
- Space group: C2/m
- ρ: 10.1 g cm⁻³
- Energy of formation from the pure elements: -0.59 eV per atom
- Final energy: -4.947 eV per atom

# Ac5Pd4Au

An optimized crystal structure of Ac5Pd4Au (PBE, the Alexandria database).

Cell: 11.806 11.806 11.806 Å, 158.39 149.11 38.01°
Positions (direct):
Ac1 0.000 0.000 0.000
Ac2 0.198 0.198 0.000
Ac3 0.394 0.394 0.000
Ac4 0.606 0.606 0.000
Ac5 0.802 0.802 0.000
Pd1 0.099 0.599 0.500
Pd2 0.297 0.797 0.500
Pd3 0.703 0.203 0.500
Pd4 0.901 0.401 0.500
Au1 0.500 0.000 0.500

Output
- Space group: Immm
- ρ: 9.4 g cm⁻³
- Energy of formation from the pure elements: -0.79 eV per atom
- Final energy: -5.246 eV per atom

Q: Which value of energy of formation from the pure elements does entry 6 give?
A: -0.70 eV per atom